Computed, not measured: a geometry-optimized SnHgPbAu structure at the PBE-GGA level of DFT.

Properties
ΔE_f: 0.0505 eV/atom
symmetry: F-43m
N(E_F): 3.22 states/eV/f.u.
offset from the most stable computed form: 72 meV/atom

Structure (POSCAR):
```
SnHgPbAu
1.0
0.000 3.696 3.696
3.696 0.000 3.696
3.696 3.696 0.000
Sn Hg Pb Au
1 1 1 1
direct
0.000 0.000 0.000
0.250 0.250 0.250
0.500 0.500 0.500
0.750 0.750 0.750
```